(1)
Material: PrThRhAu
Method: DFT, PBE-GGA
State: optimized geometry

The structure in CIF format:
```
data_PrThRhAu
_chemical_formula_sum 'Pr1 Th1 Rh1 Au1'
_cell_length_a 5.1614
_cell_length_b 5.1614
_cell_length_c 5.1614
_cell_angle_alpha 60.00
_cell_angle_beta 60.00
_cell_angle_gamma 60.00
_space_group_name_H-M_alt 'P 1'
_space_group_IT_number 1
loop_
_space_group_symop_operation_xyz
'x,y,z'
loop_
_atom_site_label
_atom_site_type_symbol
_atom_site_fract_x
_atom_site_fract_y
_atom_site_fract_z
_atom_site_occupancy
Pr1 Pr 0.0000 0.0000 0.0000 1
Th1 Th 0.5000 0.5000 0.5000 1
Au1 Au 0.7500 0.7500 0.7500 1
Rh1 Rh 0.2500 0.2500 0.2500 1
```

Results
The energy of formation from the pure elements comes out at -60.5 kJ per mole of atoms. The total energy comes out at -6.33 eV per atom. Its relative energy among the computed polymorphs is 0.180 eV/atom. Its crystal system is cubic. Its density is 11.49 g cm⁻³.


(2)
Material: PrThRhAu
Method: DFT, PBE-GGA
State: optimized geometry

The structure in CIF format:
```
data_PrThRhAu
_chemical_formula_sum 'Pr1 Th1 Rh1 Au1'
_cell_length_a 3.9957
_cell_length_b 4.1679
_cell_length_c 6.4613
_cell_angle_alpha 90.00
_cell_angle_beta 108.01
_cell_angle_gamma 90.00
_space_group_name_H-M_alt 'P 1'
_space_group_IT_number 1
loop_
_space_group_symop_operation_xyz
'x,y,z'
loop_
_atom_site_label
_atom_site_type_symbol
_atom_site_fract_x
_atom_site_fract_y
_atom_site_fract_z
_atom_site_occupancy
Pr1 Pr 0.1522 0.0000 0.3044 1
Rh1 Rh 0.3979 0.0000 0.7957 1
Th1 Th 0.8741 0.5000 0.7483 1
Au1 Au 0.5758 0.5000 0.1516 1
```

Results
The energy of formation from the pure elements comes out at -77.9 kJ per mole of atoms. The total energy comes out at -6.51 eV per atom. Its relative energy among the computed polymorphs is 0.000 eV/atom. Its crystal system is orthorhombic. Its density is 10.92 g cm⁻³.


(3)
Material: PrTmRhAu
Method: DFT, PBE-GGA
State: optimized geometry

The structure in CIF format:
```
data_PrTmRhAu
_chemical_formula_sum 'Pr1 Tm1 Rh1 Au1'
_cell_length_a 5.0498
_cell_length_b 5.0498
_cell_length_c 5.0498
_cell_angle_alpha 60.00
_cell_angle_beta 60.00
_cell_angle_gamma 60.00
_space_group_name_H-M_alt 'P 1'
_space_group_IT_number 1
loop_
_space_group_symop_operation_xyz
'x,y,z'
loop_
_atom_site_label
_atom_site_type_symbol
_atom_site_fract_x
_atom_site_fract_y
_atom_site_fract_z
_atom_site_occupancy
Tm1 Tm 0.2500 0.2500 0.2500 1
Rh1 Rh 0.5000 0.5000 0.5000 1
Au1 Au 0.0000 0.0000 0.0000 1
Pr1 Pr 0.7500 0.7500 0.7500 1
```

Results
The energy of formation from the pure elements comes out at -71.4 kJ per mole of atoms. The total energy comes out at -5.71 eV per atom. Its crystal system is cubic. Its density is 11.12 g cm⁻³.


(4)
Material: Pr5Ru2Au
Method: DFT, PBE-GGA
State: optimized geometry

The structure in CIF format:
```
data_Pr5Ru2Au
_chemical_formula_sum 'Pr10 Ru4 Au2'
_cell_length_a 7.9232
_cell_length_b 7.9232
_cell_length_c 8.9094
_cell_angle_alpha 116.40
_cell_angle_beta 116.40
_cell_angle_gamma 90.00
_space_group_name_H-M_alt 'P 1'
_space_group_IT_number 1
loop_
_space_group_symop_operation_xyz
'x,y,z'
loop_
_atom_site_label
_atom_site_type_symbol
_atom_site_fract_x
_atom_site_fract_y
_atom_site_fract_z
_atom_site_occupancy
Au1 Au 0.7500 0.7500 0.5000 1
Ru1 Ru 0.1374 0.3626 0.0000 1
Pr1 Pr 0.7001 0.2001 0.7280 1
Pr2 Pr 0.2999 0.7999 0.2720 1
Pr3 Pr 0.9721 0.4721 0.2720 1
Pr4 Pr 0.4721 0.2999 0.2720 1
Ru2 Ru 0.8626 0.6374 0.0000 1
Ru3 Ru 0.3626 0.8626 0.0000 1
Pr5 Pr 0.5000 0.5000 0.0000 1
Pr6 Pr 0.0279 0.5279 0.7280 1
Pr7 Pr 0.2001 0.0279 0.7280 1
Pr8 Pr 0.7999 0.9721 0.2720 1
Pr9 Pr 0.5279 0.7001 0.7280 1
Ru4 Ru 0.6374 0.1374 0.0000 1
Pr10 Pr 0.0000 0.0000 0.0000 1
Au2 Au 0.2500 0.2500 0.5000 1
```

Results
The energy of formation from the pure elements comes out at -33.5 kJ per mole of atoms. The total energy comes out at -6.06 eV per atom. Its crystal system is tetragonal. Its density is 8.43 g cm⁻³.


(5)
Material: Pr4RuAu3
Method: DFT, PBE-GGA
State: optimized geometry

The structure in CIF format:
```
data_Pr4RuAu3
_chemical_formula_sum 'Pr4 Ru1 Au3'
_cell_length_a 3.6444
_cell_length_b 3.6444
_cell_length_c 15.1945
_cell_angle_alpha 90.00
_cell_angle_beta 90.00
_cell_angle_gamma 90.00
_space_group_name_H-M_alt 'P 1'
_space_group_IT_number 1
loop_
_space_group_symop_operation_xyz
'x,y,z'
loop_
_atom_site_label
_atom_site_type_symbol
_atom_site_fract_x
_atom_site_fract_y
_atom_site_fract_z
_atom_site_occupancy
Ru1 Ru 0.5000 0.5000 0.0000 1
Pr1 Pr 0.0000 0.0000 0.6286 1
Au1 Au 0.5000 0.5000 0.2453 1
Au2 Au 0.5000 0.5000 0.5000 1
Pr2 Pr 0.0000 0.0000 0.3714 1
Au3 Au 0.5000 0.5000 0.7547 1
Pr3 Pr 0.0000 0.0000 0.1142 1
Pr4 Pr 0.0000 0.0000 0.8858 1
```

Results
The energy of formation from the pure elements comes out at -56.3 kJ per mole of atoms. The total energy comes out at -5.36 eV per atom. Its crystal system is tetragonal. Its density is 10.33 g cm⁻³.


(6)
Material: Pr7Ru2Au2
Method: DFT, PBE-GGA
State: optimized geometry

The structure in CIF format:
```
data_Pr7Ru2Au2
_chemical_formula_sum 'Pr7 Ru2 Au2'
_cell_length_a 6.9847
_cell_length_b 7.1649
_cell_length_c 6.9847
_cell_angle_alpha 89.99
_cell_angle_beta 109.76
_cell_angle_gamma 90.01
_space_group_name_H-M_alt 'P 1'
_space_group_IT_number 1
loop_
_space_group_symop_operation_xyz
'x,y,z'
loop_
_atom_site_label
_atom_site_type_symbol
_atom_site_fract_x
_atom_site_fract_y
_atom_site_fract_z
_atom_site_occupancy
Pr1 Pr 0.0000 0.0000 0.0000 1
Pr2 Pr 0.0000 0.7388 0.5000 1
Ru1 Ru 0.2989 0.0000 0.7011 1
Pr3 Pr 0.5000 0.7491 0.5000 1
Au1 Au 0.1775 0.5000 0.1775 1
Ru2 Ru 0.7011 0.0000 0.2989 1
Au2 Au 0.8225 0.5000 0.8225 1
Pr4 Pr 0.5000 0.2509 0.5000 1
Pr5 Pr 0.5000 0.2612 0.0000 1
Pr6 Pr 0.0000 0.2612 0.5000 1
Pr7 Pr 0.5000 0.7388 0.0000 1
```

Results
The energy of formation from the pure elements comes out at -26.2 kJ per mole of atoms. The total energy comes out at -5.60 eV per atom. Its crystal system is orthorhombic. Its density is 7.99 g cm⁻³.


(7)
Material: Pr6RuAu
Method: DFT, PBE-GGA
State: optimized geometry

The structure in CIF format:
```
data_Pr6RuAu
_chemical_formula_sum 'Pr6 Ru1 Au1'
_cell_length_a 6.9651
_cell_length_b 6.9679
_cell_length_c 7.8468
_cell_angle_alpha 63.67
_cell_angle_beta 63.68
_cell_angle_gamma 60.02
_space_group_name_H-M_alt 'P 1'
_space_group_IT_number 1
loop_
_space_group_symop_operation_xyz
'x,y,z'
loop_
_atom_site_label
_atom_site_type_symbol
_atom_site_fract_x
_atom_site_fract_y
_atom_site_fract_z
_atom_site_occupancy
Ru1 Ru 0.0000 0.0000 0.0000 1
Pr1 Pr 0.0607 0.4175 0.7594 1
Pr2 Pr 0.2379 0.9395 0.2405 1
Pr3 Pr 0.9393 0.5825 0.2406 1
Pr4 Pr 0.4175 0.7622 0.7595 1
Au1 Au 0.5000 0.5000 0.5000 1
Pr5 Pr 0.7621 0.0605 0.7595 1
Pr6 Pr 0.5825 0.2378 0.2405 1
```

Results
The energy of formation from the pure elements comes out at -14.2 kJ per mole of atoms. The total energy comes out at -5.30 eV per atom. Its crystal system is trigonal. Its density is 6.70 g cm⁻³.


(8)
Material: Pr4RuAu
Method: DFT, PBE-GGA
State: optimized geometry

The structure in CIF format:
```
data_Pr4RuAu
_chemical_formula_sum 'Pr8 Ru2 Au2'
_cell_length_a 6.4186
_cell_length_b 8.1712
_cell_length_c 8.2510
_cell_angle_alpha 113.55
_cell_angle_beta 105.50
_cell_angle_gamma 104.23
_space_group_name_H-M_alt 'P 1'
_space_group_IT_number 1
loop_
_space_group_symop_operation_xyz
'x,y,z'
loop_
_atom_site_label
_atom_site_type_symbol
_atom_site_fract_x
_atom_site_fract_y
_atom_site_fract_z
_atom_site_occupancy
Pr1 Pr 0.2139 0.2986 0.3597 1
Pr2 Pr 0.3542 0.9389 0.6403 1
Ru1 Ru 0.7509 0.0009 0.0017 1
Ru2 Ru 0.2491 0.9991 0.9983 1
Au1 Au 0.6233 0.3733 0.7467 1
Pr3 Pr 0.7861 0.7014 0.6403 1
Au2 Au 0.3767 0.6267 0.2533 1
Pr4 Pr 0.6639 0.3536 0.1350 1
Pr5 Pr 0.6458 0.0611 0.3597 1
Pr6 Pr 0.0289 0.2186 0.8650 1
Pr7 Pr 0.3361 0.6464 0.8650 1
Pr8 Pr 0.9711 0.7814 0.1350 1
```

Results
The energy of formation from the pure elements comes out at -33.5 kJ per mole of atoms. The total energy comes out at -5.63 eV per atom. Its crystal system is monoclinic. Its density is 8.16 g cm⁻³.


(9)
Material: Pr8Ru2Au
Method: DFT, PBE-GGA
State: optimized geometry

The structure in CIF format:
```
data_Pr8Ru2Au
_chemical_formula_sum 'Pr8 Ru2 Au1'
_cell_length_a 6.0357
_cell_length_b 8.0060
_cell_length_c 8.0060
_cell_angle_alpha 114.80
_cell_angle_beta 99.88
_cell_angle_gamma 99.88
_space_group_name_H-M_alt 'P 1'
_space_group_IT_number 1
loop_
_space_group_symop_operation_xyz
'x,y,z'
loop_
_atom_site_label
_atom_site_type_symbol
_atom_site_fract_x
_atom_site_fract_y
_atom_site_fract_z
_atom_site_occupancy
Pr1 Pr 0.3155 0.6203 0.6203 1
Au1 Au 0.5000 0.0000 0.0000 1
Pr2 Pr 0.6845 0.3797 0.3797 1
Pr3 Pr 0.0689 0.0830 0.3360 1
Pr4 Pr 0.9311 0.6640 0.9170 1
Pr5 Pr 0.0689 0.3360 0.0830 1
Ru1 Ru 0.0000 0.2950 0.7050 1
Pr6 Pr 0.5000 0.2317 0.7683 1
Pr7 Pr 0.5000 0.7683 0.2317 1
Pr8 Pr 0.9311 0.9170 0.6640 1
Ru2 Ru 0.0000 0.7050 0.2950 1
```

Results
The energy of formation from the pure elements comes out at -14.0 kJ per mole of atoms. The total energy comes out at -5.61 eV per atom. Its crystal system is monoclinic. Its density is 7.61 g cm⁻³.


(10)
Material: Pr6RuAu2
Method: DFT, PBE-GGA
State: optimized geometry

The structure in CIF format:
```
data_Pr6RuAu2
_chemical_formula_sum 'Pr12 Ru2 Au4'
_cell_length_a 6.9924
_cell_length_b 7.6247
_cell_length_c 10.6204
_cell_angle_alpha 90.00
_cell_angle_beta 93.05
_cell_angle_gamma 90.00
_space_group_name_H-M_alt 'P 1'
_space_group_IT_number 1
loop_
_space_group_symop_operation_xyz
'x,y,z'
loop_
_atom_site_label
_atom_site_type_symbol
_atom_site_fract_x
_atom_site_fract_y
_atom_site_fract_z
_atom_site_occupancy
Ru1 Ru 0.0000 0.0000 0.5000 1
Pr1 Pr 0.3253 0.8173 0.0676 1
Pr2 Pr 0.3222 0.8112 0.4377 1
Pr3 Pr 0.3582 0.5318 0.7483 1
Pr4 Pr 0.6778 0.1888 0.5623 1
Pr5 Pr 0.8582 0.9682 0.2483 1
Pr6 Pr 0.1778 0.3112 0.0623 1
Au1 Au 0.9457 0.3922 0.7649 1
Au2 Au 0.4457 0.1078 0.2649 1
Pr7 Pr 0.6418 0.4682 0.2517 1
Ru2 Ru 0.5000 0.5000 0.0000 1
Pr8 Pr 0.1747 0.3173 0.4324 1
Pr9 Pr 0.8253 0.6827 0.5676 1
Au3 Au 0.0543 0.6078 0.2351 1
Pr10 Pr 0.6747 0.1827 0.9324 1
Pr11 Pr 0.8222 0.6888 0.9377 1
Au4 Au 0.5543 0.8922 0.7351 1
Pr12 Pr 0.1418 0.0318 0.7517 1
```

Results
The energy of formation from the pure elements comes out at -37.7 kJ per mole of atoms. The total energy comes out at -5.34 eV per atom. Its crystal system is monoclinic. Its density is 7.87 g cm⁻³.


(11)
Material: Pr6Ru2Au
Method: DFT, PBE-GGA
State: optimized geometry

The structure in CIF format:
```
data_Pr6Ru2Au
_chemical_formula_sum 'Pr12 Ru4 Au2'
_cell_length_a 8.7252
_cell_length_b 8.7252
_cell_length_c 8.7252
_cell_angle_alpha 105.27
_cell_angle_beta 111.40
_cell_angle_gamma 111.82
_space_group_name_H-M_alt 'P 1'
_space_group_IT_number 1
loop_
_space_group_symop_operation_xyz
'x,y,z'
loop_
_atom_site_label
_atom_site_type_symbol
_atom_site_fract_x
_atom_site_fract_y
_atom_site_fract_z
_atom_site_occupancy
Ru1 Ru 0.3244 0.0000 0.3244 1
Pr1 Pr 0.1008 0.2817 0.8191 1
Au1 Au 0.0000 0.5000 0.5000 1
Pr2 Pr 0.6852 0.3568 0.6717 1
Pr3 Pr 0.1931 0.2390 0.4320 1
Au2 Au 0.0000 0.0000 0.0000 1
Pr4 Pr 0.8992 0.7183 0.1809 1
Ru2 Ru 0.5000 0.6239 0.1239 1
Pr5 Pr 0.6852 0.0135 0.3283 1
Ru3 Ru 0.5000 0.3761 0.8761 1
Pr6 Pr 0.8069 0.2390 0.0459 1
Ru4 Ru 0.6756 0.0000 0.6756 1
Pr7 Pr 0.4625 0.2817 0.1809 1
Pr8 Pr 0.3148 0.9865 0.6717 1
Pr9 Pr 0.5375 0.7183 0.8191 1
Pr10 Pr 0.1931 0.7610 0.9541 1
Pr11 Pr 0.3148 0.6432 0.3283 1
Pr12 Pr 0.8069 0.7610 0.5680 1
```

Results
The energy of formation from the pure elements comes out at -27.8 kJ per mole of atoms. The total energy comes out at -5.90 eV per atom. Its relative energy among the computed polymorphs is 0.000 eV/atom. Its crystal system is orthorhombic. Its density is 8.12 g cm⁻³.


What did the tenth record say?
Material: Pr6RuAu2
Method: DFT, PBE-GGA
State: optimized geometry

The structure in CIF format:
```
data_Pr6RuAu2
_chemical_formula_sum 'Pr12 Ru2 Au4'
_cell_length_a 6.9924
_cell_length_b 7.6247
_cell_length_c 10.6204
_cell_angle_alpha 90.00
_cell_angle_beta 93.05
_cell_angle_gamma 90.00
_space_group_name_H-M_alt 'P 1'
_space_group_IT_number 1
loop_
_space_group_symop_operation_xyz
'x,y,z'
loop_
_atom_site_label
_atom_site_type_symbol
_atom_site_fract_x
_atom_site_fract_y
_atom_site_fract_z
_atom_site_occupancy
Ru1 Ru 0.0000 0.0000 0.5000 1
Pr1 Pr 0.3253 0.8173 0.0676 1
Pr2 Pr 0.3222 0.8112 0.4377 1
Pr3 Pr 0.3582 0.5318 0.7483 1
Pr4 Pr 0.6778 0.1888 0.5623 1
Pr5 Pr 0.8582 0.9682 0.2483 1
Pr6 Pr 0.1778 0.3112 0.0623 1
Au1 Au 0.9457 0.3922 0.7649 1
Au2 Au 0.4457 0.1078 0.2649 1
Pr7 Pr 0.6418 0.4682 0.2517 1
Ru2 Ru 0.5000 0.5000 0.0000 1
Pr8 Pr 0.1747 0.3173 0.4324 1
Pr9 Pr 0.8253 0.6827 0.5676 1
Au3 Au 0.0543 0.6078 0.2351 1
Pr10 Pr 0.6747 0.1827 0.9324 1
Pr11 Pr 0.8222 0.6888 0.9377 1
Au4 Au 0.5543 0.8922 0.7351 1
Pr12 Pr 0.1418 0.0318 0.7517 1
```

Results
The energy of formation from the pure elements comes out at -37.7 kJ per mole of atoms. The total energy comes out at -5.34 eV per atom. Its crystal system is monoclinic. Its density is 7.87 g cm⁻³.


Q: What is the formula in the fifth record?
A: Pr4RuAu3